# AgMoF3

AgMoF3 after structural relaxation (PBE+U, Alexandria via LeMat-Bulk).

a b c (Å): 4.3142 4.3142 4.3142
angles (deg): 90.00 90.00 90.00
Last column: magnetic moment on the atom in μB.
Fractional positions:
Mo1 0.0000 0.0000 0.0000  2.96
F1 0.5000 0.0000 0.0000  0.06
F2 0.0000 0.5000 0.0000  0.03
F3 0.0000 0.0000 0.5000  0.01
Ag1 0.5000 0.5000 0.5000  0.01

Summary:
total DFT energy (no corrections): -4.655 eV per atom
distance to the lowest polymorph of the same formula: 0 meV per atom
magnetization: 3.22 μB per cell
space group: Pm-3m, No. 221
density: 5.39 g/cm3